First-principles (SCAN) data for a PBEsol-optimized structure of SrHS2N, as listed in Alexandria.

a = 5.7979 Å, b = 5.7979 Å, c = 5.0855 Å
α = 90.00°, β = 90.00°, γ = 90.00°
Last column: nearest neighbours and their distance in Å.
Space group P4/mmm (No. 123)
Symmetry-distinct sites (fractional):
1 Sr 0.0000 0.0000 0.0000 [1 per cell]  2 N 2.54
2 H 0.5000 0.5000 0.5000 [1 per cell]  8 S 3.86, 4 N 4.10
3 S 0.0000 0.5000 0.0000 [2 per cell]  2 Sr 2.90
4 N 0.0000 0.0000 0.5000 [1 per cell]  2 Sr 2.54

Properties
Its total energy is -9.688 eV/atom.

***

First-principles (SCAN) data for a PBEsol-optimized structure of Ba2Li3TaN4, as listed in Alexandria.

a = 11.2327 Å, b = 5.6190 Å, c = 10.9837 Å
α = 90.00°, β = 118.92°, γ = 90.00°
Last column: nearest neighbours and their distance in Å.
Space group C2/c (No. 15)
Symmetry-distinct sites (fractional):
1 Ba 0.1543 0.2123 0.1134 [8 per cell]  5 N 2.77-3.06, 3 Li 2.90-3.03
2 Li 0.0000 0.3789 0.2500 [4 per cell]  4 N 2.22-2.34
3 Li 0.1732 0.2996 0.5384 [8 per cell]  3 N 1.99-2.11
4 Ta 0.0000 0.1404 0.7500 [4 per cell]  4 N 1.95-1.96
5 N 0.0753 0.3444 0.6597 [8 per cell]  1 Ta 1.96, 1 Li 2.11
6 N 0.1396 0.0683 0.3864 [8 per cell]  1 Ta 1.95, 2 Li 1.99-2.00

Properties
The value obtained for the uncorrected formation energy is -1.04 eV per atom.

***

First-principles (SCAN) data for a PBEsol-optimized structure of YPdIN2, as listed in Alexandria.

a = 4.1878 Å, b = 4.1878 Å, c = 5.0035 Å
α = 90.00°, β = 90.00°, γ = 90.00°
Last column: nearest neighbours and their distance in Å.
Space group P4/mmm (No. 123)
Symmetry-distinct sites (fractional):
1 Y 0.0000 0.0000 0.0000 [1 per cell]  4 I 2.96, 8 N 3.26
2 Pd 0.5000 0.5000 0.5000 [1 per cell]  4 N 2.09
3 I 0.5000 0.5000 0.0000 [1 per cell]  2 Pd 2.50
4 N 0.0000 0.5000 0.5000 [2 per cell]  2 Pd 2.09

Properties
The value obtained for the uncorrected formation energy is 0.81 eV per atom.

***

First-principles (SCAN) data for a PBEsol-optimized structure of NaHBr2, as listed in Alexandria.

a = 4.4879 Å, b = 4.4879 Å, c = 18.8299 Å
α = 90.00°, β = 90.00°, γ = 120.00°
Last column: nearest neighbours and their distance in Å.
Space group R-3m (No. 166, hexagonal axes)
Symmetry-distinct sites (fractional):
1 Na 0.0000 0.0000 0.0000 [3 per cell]  6 Br 2.96
2 H 0.0000 0.0000 0.5000 [3 per cell]  2 Br 1.70
3 Br 0.0000 0.0000 0.4098 [6 per cell]  1 H 1.70

Properties
For the excess energy over the best structure of this formula in the dataset, the calculation gives 0 meV/atom.